[1]
Material: LaWN2
Method: DFT, GGA-PBE
State: relaxed

Lattice parameters (Å, degrees): 6.3535 6.3535 6.3535 133.02 133.02 68.62
With the nearest neighbours (Å) after each atom.
Fractional positions:
La 0.0000 0.0000 0.0000  4 N 2.55
La 0.7500 0.2500 0.5000  4 N 2.55
W 0.2500 0.7500 0.5000  4 N 1.97
W 0.5000 0.5000 0.0000  4 N 1.97
N 0.2282 0.6250 0.1032  2 W 1.97
N 0.3750 0.4782 0.6032  2 W 1.97
N 0.5218 0.1250 0.8968  2 W 1.97
N 0.8750 0.7718 0.3968  2 W 1.97

formation energy without anion corrections	-2.44	eV/f.u.
SG	I-42d (122)
volume	135	Å³/cell
crystal system	tetragonal
energy relative to the lowest polymorph listed for this composition	0.00	eV per formula unit
size of the total moment	0.0	μB/f.u.

=====

[2]
Material: Tl2CoSi
Method: DFT, GGA-PBE
State: relaxed

Lattice parameters (Å, degrees): 5.4389 5.4389 5.4389 142.38 121.74 71.45
With the nearest neighbours (Å) after each atom.
Fractional positions:
Tl 0.2326 0.2326 0.0000  2 Co 2.70, 2 Si 2.94
Tl 0.7674 0.7674 0.0000  2 Co 2.70, 2 Si 2.94
Co 0.0000 0.5000 0.5000  4 Tl 2.70
Si 0.5000 0.0000 0.5000  4 Tl 2.94, 4 Co 3.18

formation energy without anion corrections	2.96	eV/f.u.
SG	Immm (71)
volume	82	Å³/cell
crystal system	orthorhombic
energy relative to the lowest polymorph listed for this composition	2.35	eV per formula unit
size of the total moment	1.0	μB/f.u.

=====

[3]
Material: Pr2HoTmP4
Method: DFT, GGA-PBE
State: relaxed

Lattice parameters (Å, degrees): 7.0738 4.0904 7.0811 90.00 109.48 90.00
With the nearest neighbours (Å) after each atom.
Fractional positions:
Pr 0.0000 0.0000 0.0000  6 P 2.94
Pr 0.0000 0.5000 0.5000  6 P 2.95
Ho 0.5000 0.0000 0.5000  6 P 2.84
Tm 0.5000 0.5000 0.0000  6 P 2.83
P 0.2639 0.5000 0.2535  1 Tm 2.83, 2 Ho 2.84, 3 Pr 2.94-2.95
P 0.2646 0.0000 0.7559  2 Tm 2.83, 1 Ho 2.84, 3 Pr 2.94-2.95
P 0.7354 0.0000 0.2441  2 Tm 2.83, 1 Ho 2.84, 3 Pr 2.94-2.95
P 0.7361 0.5000 0.7465  1 Tm 2.83, 2 Ho 2.84, 3 Pr 2.94-2.95

energy of formation	-1.55	eV/atom
SG	P2/m (10)
volume	193	Å³/cell
crystal system	monoclinic
size of the total moment	0.0	μB/f.u.

=====

[4]
Material: Mg5Ag2Hg5
Method: DFT, GGA-PBE
State: relaxed

Lattice parameters (Å, degrees): 4.7690 4.7690 13.3492 99.25 99.25 59.64
With the nearest neighbours (Å) after each atom.
Fractional positions:
Mg 0.0000 0.0000 0.0000  2 Ag 2.84, 6 Hg 2.95-3.00
Mg 0.1449 0.1449 0.4278  1 Ag 2.78, 6 Hg 2.90-3.07
Mg 0.3972 0.3972 0.1876  3 Ag 2.77-2.78, 3 Hg 3.03-3.05
Mg 0.6028 0.6028 0.8124  3 Ag 2.77-2.78, 3 Hg 3.03-3.05
Mg 0.8551 0.8551 0.5722  1 Ag 2.78, 6 Hg 2.90-3.07
Ag 0.0740 0.0740 0.2162  5 Mg 2.77-2.84, 1 Hg 3.08
Ag 0.9260 0.9260 0.7838  5 Mg 2.77-2.84, 1 Hg 3.08
Hg 0.2203 0.2203 0.6720  7 Mg 3.03-3.37, 3 Ag 3.08-3.13, 1 Hg 3.14
Hg 0.3016 0.3016 0.9115  6 Mg 2.95-3.05, 1 Hg 3.14, 3 Ag 3.20-3.26
Hg 0.5000 0.5000 0.5000  6 Mg 2.90-2.92
Hg 0.6984 0.6984 0.0885  6 Mg 2.95-3.05, 1 Hg 3.14, 3 Ag 3.20-3.26
Hg 0.7797 0.7797 0.3280  7 Mg 3.03-3.37, 3 Ag 3.08-3.13, 1 Hg 3.14

energy of formation	-0.15	eV/atom
SG	C2/m (12)
volume	257	Å³/cell
crystal system	monoclinic
size of the total moment	0.0	μB/f.u.

=====

[5]
Material: PuPa2RuN5
Method: DFT, GGA-PBE
State: relaxed

Lattice parameters (Å, degrees): 6.8919 6.8919 10.3874 90.00 90.00 151.79
With the nearest neighbours (Å) after each atom.
Fractional positions:
Pu 0.2038 0.7962 0.5000  6 N 2.19-2.39
Pu 0.7962 0.2038 0.0000  6 N 2.19-2.39
Pa 0.1012 0.8988 0.1808  8 N 2.31-2.56
Pa 0.1469 0.8531 0.7954  5 N 2.38-2.54
Pa 0.8531 0.1469 0.2954  5 N 2.38-2.54
Pa 0.8988 0.1012 0.6808  8 N 2.31-2.56
Ru 0.4766 0.5234 0.9516  5 N 1.99-2.21
Ru 0.5234 0.4766 0.4516  5 N 1.99-2.21
N 0.0496 0.9504 0.5714  2 Ru 2.12, 1 Pu 2.19, 1 Pa 2.31
N 0.2769 0.7231 0.1624  3 Pa 2.36-2.40, 2 Pu 2.39
N 0.3330 0.6670 0.8471  1 Ru 2.21, 2 Pu 2.36
N 0.3702 0.6298 0.5009  1 Ru 2.11, 1 Pu 2.22
N 0.4771 0.5229 0.2697  1 Ru 1.99
N 0.5229 0.4771 0.7697  1 Ru 1.99
N 0.6298 0.3702 0.0009  1 Ru 2.11, 1 Pu 2.22
N 0.6670 0.3330 0.3471  1 Ru 2.21, 2 Pu 2.36
N 0.7231 0.2769 0.6624  3 Pa 2.36-2.40, 2 Pu 2.39
N 0.9504 0.0496 0.0714  2 Ru 2.12, 1 Pu 2.19, 1 Pa 2.31

formation energy without anion corrections	-9.72	eV/f.u.
SG	Cmc2_1 (36)
volume	233	Å³/cell
crystal system	orthorhombic
size of the total moment	4.1	μB/f.u.

=====

[6]
Material: MnTlHg2
Method: DFT, GGA-PBE
State: relaxed

Lattice parameters (Å, degrees): 5.0654 5.0654 5.9977 101.90 101.90 39.12
With the nearest neighbours (Å) after each atom.
Fractional positions:
Mn 0.0000 0.0000 0.0000  6 Hg 2.88-3.07
Tl 0.5000 0.5000 0.5000  6 Hg 3.11-3.22, 2 Tl 3.39, 4 Mn 3.45
Hg 0.2651 0.2651 0.7874  3 Mn 2.88-3.07, 3 Tl 3.11-3.22, 2 Hg 3.13
Hg 0.7349 0.7349 0.2126  3 Mn 2.88-3.07, 3 Tl 3.11-3.22, 2 Hg 3.13

energy of formation	0.29	eV/atom
SG	C2/m (12)
volume	95	Å³/cell
crystal system	monoclinic
size of the total moment	4.2	μB/f.u.

=====

- Which value of volume does entry 4 give?
  257 Å³/cell